1.
NdDy2Mg after structural relaxation. Source: the Alexandria database, functional PBE.

Unit cell a=4.9271 b=4.9271 c=4.9951 alpha=90.00 beta=90.00 gamma=90.00
Closest atoms and distances in Å follow each position.
Space group P4/mmm (No. 123)
Inequivalent atoms, fractional coordinates:
Nd 0.0000 0.0000 0.0000 x1  4 Mg 3.48, 8 Dy 3.51
Dy 0.0000 0.5000 0.5000 x2  4 Dy 3.48, 4 Mg 3.51, 4 Nd 3.51
Mg 0.5000 0.5000 0.0000 x1  4 Nd 3.48, 8 Dy 3.51

polymorph energy (0 for the lowest one) = 48.4 meV per atom
E_form = 0.018 eV per atom

2.
LaGdAlCu after structural relaxation. Source: the Alexandria database, functional PBE.

Unit cell a=7.3638 b=7.3638 c=7.3638 alpha=90.00 beta=90.00 gamma=90.00
Closest atoms and distances in Å follow each position.
Space group F-43m (No. 216)
Inequivalent atoms, fractional coordinates:
La 0.0000 0.0000 0.0000 x4  4 Cu 3.19, 4 Al 3.19
Gd 0.0000 0.0000 0.5000 x4  4 Al 3.19, 4 Cu 3.19
Al 0.2500 0.2500 0.7500 x4  4 Gd 3.19, 4 La 3.19
Cu 0.2500 0.2500 0.2500 x4  4 Gd 3.19, 4 La 3.19

E_form = -0.232 eV per atom

3.
PaPt2PbO8 after structural relaxation. Source: the Alexandria database, functional PBE.

Unit cell a=6.1513 b=6.1513 c=7.0090 alpha=90.00 beta=90.00 gamma=120.00
Closest atoms and distances in Å follow each position.
Space group P-3 (No. 147)
Inequivalent atoms, fractional coordinates:
Pa 0.0000 0.0000 0.0000 x1  6 O 2.16
Pt 0.3333 0.6667 0.2833 x2  4 O 1.82-2.00
Pb 0.0000 0.0000 0.5000 x1  6 O 2.67
O 0.1489 0.3088 0.1994 x6  1 Pt 2.00, 1 Pa 2.16
O 0.3333 0.6667 0.5433 x2  1 Pt 1.82

raw formation energy = -10.79 eV per formula unit

4.
Ti3WAu after structural relaxation. Source: the Alexandria database, functional PBE.

Unit cell a=4.7504 b=4.7504 c=4.7504 alpha=90.00 beta=90.00 gamma=90.00
Closest atoms and distances in Å follow each position.
Space group Pm-3m (No. 221)
Inequivalent atoms, fractional coordinates:
Ti 0.0000 0.0000 0.5000 x3  2 W 2.38
W 0.0000 0.0000 0.0000 x1  6 Ti 2.38
Au 0.5000 0.5000 0.5000 x1  12 Ti 3.36

polymorph energy (0 for the lowest one) = 0.0 meV per atom
E_form = 0.858 eV per atom